# PBE-GGA La8Ir3Se4Cl, relaxed
data_La8Ir3Se4Cl
_chemical_formula_sum 'La24 Ir9 Se12 Cl3'
_cell_length_a 8.4492
_cell_length_b 8.4492
_cell_length_c 21.8887
_cell_angle_alpha 90.00
_cell_angle_beta 90.00
_cell_angle_gamma 120.00
_space_group_name_H-M_alt 'R -3 m'
_space_group_IT_number 166
_space_group_name_Hall '-R 3 2"'
loop_
_atom_site_label
_atom_site_fract_x
_atom_site_fract_y
_atom_site_fract_z
_atom_site_occupancy
La1 0.0000 0.0000 0.2413 1
La2 0.0153 0.5076 0.7558 1
Ir1 0.0000 0.5000 0.5000 1
Se1 0.0000 0.0000 0.0000 1
Se2 0.0000 0.5000 0.0000 1
Cl1 0.0000 0.0000 0.5000 1
# * formation energy (no corrections): -1473.5 meV per atom
# * density of states at the Fermi level: 44.01 states/eV per cell
# * mass density: 7.51 Mg/m³

=====

# PBE-GGA AlVFe2C, relaxed
data_AlVFe2C
_chemical_formula_sum 'Al1 V1 Fe2 C1'
_cell_length_a 3.728
_cell_length_b 3.728
_cell_length_c 4.019
_cell_angle_alpha 90.00
_cell_angle_beta 90.00
_cell_angle_gamma 90.00
_space_group_name_H-M_alt 'P 4/m m m'
_space_group_IT_number 123
_space_group_name_Hall '-P 4 2'
loop_
_atom_site_label
_atom_site_fract_x
_atom_site_fract_y
_atom_site_fract_z
_atom_site_occupancy
Al1 0.000 0.000 0.000 1
V1 0.500 0.500 0.000 1
Fe1 0.000 0.500 0.500 1
C1 0.000 0.000 0.500 1
# * density of states at the Fermi level: 2.91 states/eV per cell
# * formation energy: 0.1678 eV/atom
# * mass density: 5.99 Mg/m³

=====

# PBE-GGA Zr3NbH6, relaxed
data_Zr3NbH6
_chemical_formula_sum 'Zr18 Nb6 H36'
_cell_length_a 8.3494
_cell_length_b 8.3494
_cell_length_c 10.2612
_cell_angle_alpha 90.00
_cell_angle_beta 90.00
_cell_angle_gamma 120.00
_space_group_name_H-M_alt 'R -3'
_space_group_IT_number 148
_space_group_name_Hall '-R 3'
loop_
_atom_site_label
_atom_site_fract_x
_atom_site_fract_y
_atom_site_fract_z
_atom_site_occupancy
Zr1 0.0038 0.7503 0.2463 1
Nb1 0.0000 0.0000 0.0000 1
Nb2 0.0000 0.0000 0.5000 1
H1 0.0052 0.8503 0.8574 1
H2 0.0463 0.8060 0.4404 1
# * calculated total energy: -0.441 Ry/atom
# * density of states at the Fermi level: 27.06 states/eV per cell
# * mass density: 5.99 Mg/m³

=====

# PBE-GGA Pm5Si3H, relaxed
data_Pm5Si3H
_chemical_formula_sum 'Pm10 Si6 H2'
_cell_length_a 8.7343
_cell_length_b 8.7343
_cell_length_c 6.4613
_cell_angle_alpha 90.00
_cell_angle_beta 90.00
_cell_angle_gamma 120.00
_space_group_name_H-M_alt 'P 63/m c m'
_space_group_IT_number 193
_space_group_name_Hall '-P 6c 2'
loop_
_atom_site_label
_atom_site_fract_x
_atom_site_fract_y
_atom_site_fract_z
_atom_site_occupancy
Pm1 0.0000 0.2499 0.2500 1
Pm2 0.3333 0.6667 0.0000 1
Si1 0.0000 0.3889 0.7500 1
H1 0.0000 0.0000 0.0000 1
# * calculated total energy: -0.401 Ry/atom
# * density of states at the Fermi level: 12.39 states/eV per cell
# * mass density: 6.30 Mg/m³